[1]
This record from the Alexandria database describes a geometry-optimized CsLiBe3 structure. The functional is GGA-PBE.

Calculated values
offset from the most stable computed form = 0.873 eV/atom
formation energy from the elements = 208.7 kJ/mol of atoms

Cell: 6.0496 6.0496 6.0496 Å, 90.00 90.00 90.00°
With the nearest neighbours (Å) after each atom.
Space group Pm-3m (No. 221)
Inequivalent atoms, fractional coordinates:
Cs 0.0000 0.0000 0.0000 x1  6 Be 3.02
Li 0.5000 0.5000 0.5000 x1  12 Be 4.28
Be 0.0000 0.0000 0.5000 x3  2 Cs 3.02

***

[2]
This record from the Alexandria database describes a geometry-optimized CsLiBe2 structure. The functional is GGA-PBE.

Calculated values
offset from the most stable computed form = 0.007 eV/atom
formation energy from the elements = 28.6 kJ/mol of atoms

Cell: 3.7966 4.3542 13.6254 Å, 90.00 93.78 90.00°
With the nearest neighbours (Å) after each atom.
Space group Pm (No. 6)
Inequivalent atoms, fractional coordinates:
Cs 0.0000 0.0000 0.0000 x1  2 Cs 3.80, 4 Li 3.83-3.85
Cs 0.1664 0.5000 0.6492 x1  2 Cs 3.80, 4 Li 3.85-3.86
Li 0.5379 0.5000 0.1865 x1  1 Be 2.21
Li 0.6234 0.0000 0.4614 x1  1 Be 2.22
Be 0.0762 0.2500 0.3239 x2  6 Be 2.18-2.22
Be 0.5700 0.0000 0.2984 x1  6 Be 2.21-2.28, 1 Li 2.22
Be 0.5825 0.5000 0.3492 x1  1 Li 2.21, 6 Be 2.21-2.28

***

[3]
This record from the Alexandria database describes a geometry-optimized Cs2LiBe2 structure. The functional is GGA-PBE.

Calculated values
offset from the most stable computed form = 0.000 eV/atom
formation energy from the elements = 78.9 kJ/mol of atoms

Cell: 3.3702 3.3702 27.0035 Å, 90.00 90.00 90.00°
With the nearest neighbours (Å) after each atom.
Space group I4/mmm (No. 139)
Inequivalent atoms, fractional coordinates:
Cs 0.0000 0.0000 0.1261 x4  4 Cs 3.37, 4 Be 3.75
Li 0.0000 0.0000 0.5000 x2  4 Li 3.37
Be 0.0000 0.5000 0.2500 x4  4 Be 2.38

***

[4]
This record from the Alexandria database describes a geometry-optimized CsLiBe2 structure. The functional is GGA-PBE.

Calculated values
offset from the most stable computed form = 0.218 eV/atom
formation energy from the elements = 49.0 kJ/mol of atoms

Cell: 4.7323 6.1960 7.1452 Å, 91.55 107.31 92.12°
With the nearest neighbours (Å) after each atom.
Space group P-1 (No. 2)
Inequivalent atoms, fractional coordinates:
Cs 0.2235 0.2446 0.4302 x2  4 Be 3.49-3.84, 2 Li 3.57-3.65
Li 0.0192 0.6775 0.0857 x2  4 Be 2.43-2.50, 1 Li 2.46
Be 0.2824 0.9972 0.9992 x2  3 Be 2.06-2.27
Be 0.4819 0.6749 0.9922 x2  3 Be 2.18-2.27, 1 Li 2.43

***

[5]
This record from the Alexandria database describes a geometry-optimized CsNaLiBe2 structure. The functional is GGA-PBE.

Calculated values
offset from the most stable computed form = 0.000 eV/atom
formation energy from the elements = 124.9 kJ/mol of atoms

Cell: 5.4261 5.4261 6.2532 Å, 90.00 90.00 90.00°
With the nearest neighbours (Å) after each atom.
Space group P4/mmm (No. 123)
Inequivalent atoms, fractional coordinates:
Cs 0.0000 0.0000 0.0000 x1  2 Na 3.13
Na 0.0000 0.0000 0.5000 x1  4 Be 2.71
Li 0.5000 0.5000 0.0000 x1  4 Cs 3.84, 8 Be 4.14
Be 0.0000 0.5000 0.5000 x2  2 Na 2.71

***

[6]
This record from the Alexandria database describes a geometry-optimized CsNaLiBe2 structure. The functional is GGA-PBE.

Calculated values
offset from the most stable computed form = 0.337 eV/atom
formation energy from the elements = 157.4 kJ/mol of atoms

Cell: 6.1039 6.1039 6.6299 Å, 90.00 90.00 90.00°
With the nearest neighbours (Å) after each atom.
Space group P4/mmm (No. 123)
Inequivalent atoms, fractional coordinates:
Cs 0.0000 0.0000 0.0000 x1  4 Be 3.05, 2 Na 3.31
Na 0.0000 0.0000 0.5000 x1  2 Cs 3.31
Li 0.5000 0.5000 0.5000 x1  4 Na 4.32, 8 Be 4.51
Be 0.0000 0.5000 0.0000 x2  2 Cs 3.05

***

no.,DOS(E_F) (states/eV per cell)
1,3.72
2,4.64
3,6.83
4,4.07
5,3.15
6,4.52